1.
{"formula": "VGaCu2", "functional": "GGA-PBE", "state": "relaxed", "cell": [[6.8231, 0.0000, 0.0000], [0.0000, 6.8231, 0.0000], [3.4115, 3.4115, 2.5526]], "species": ["Ga", "V", "Cu", "V", "Cu", "Cu", "Ga", "Cu"], "frac_coords": [[0.7500, 0.2500, 0.5000], [0.5000, 0.5000, 0.0000], [0.3750, 0.3611, 0.7500], [0.2500, 0.7500, 0.5000], [0.1111, 0.6250, 0.2500], [0.6389, 0.1250, 0.2500], [0.0000, 0.0000, 0.0000], [0.8750, 0.8889, 0.7500]], "crystal_system": "tetragonal", "mass_density_g_cm3": 6.924, "formation_enthalpy_0k_kj_per_mol_atoms": 37.74}

---

2.
{"formula": "CaP2HS6", "functional": "GGA-PBE", "state": "relaxed", "cell": [[7.1435, 0.4195, 0.4353], [2.8080, 7.9485, 0.4373], [2.8080, 0.1425, 7.9593]], "species": ["S", "S", "P", "S", "S", "S", "S", "S", "S", "S", "P", "Ca", "H", "S", "P", "H", "S", "P", "Ca", "S"], "frac_coords": [[0.4933, 0.8244, 0.3914], [0.0626, 0.7286, 0.5691], [0.6610, 0.2415, 0.3556], [0.3173, 0.1854, 0.0486], [0.8173, 0.0486, 0.1854], [0.9933, 0.3914, 0.8244], [0.5067, 0.1756, 0.6086], [0.5626, 0.5691, 0.7286], [0.9374, 0.2714, 0.4309], [0.0067, 0.6086, 0.1756], [0.8390, 0.6444, 0.7585], [0.2500, 0.8425, 0.1575], [0.2500, 0.3136, 0.6864], [0.4374, 0.4309, 0.2714], [0.3390, 0.7585, 0.6444], [0.7500, 0.6864, 0.3136], [0.6827, 0.8146, 0.9514], [0.1610, 0.3556, 0.2415], [0.7500, 0.1575, 0.8425], [0.1827, 0.9514, 0.8146]], "crystal_system": "monoclinic", "total_energy_ev_per_atom": -4.50, "mass_density_g_cm3": 2.265}

---

3.
{"formula": "KMg2SnRu", "functional": "GGA-PBE", "state": "relaxed", "cell": [[-2.1000, 4.4597, -1.5200], [-1.1997, -2.1154, -4.5492], [-4.5060, -1.4819, 1.8774]], "species": ["K", "Mg", "Ru", "Sn", "Mg"], "frac_coords": [[0.5000, 0.5000, 0.5000], [0.0000, 0.5000, 0.0000], [0.0000, 0.0000, 0.0000], [0.0000, 0.0000, 0.5000], [0.5000, 0.0000, 0.0000]], "crystal_system": "tetragonal", "mass_density_g_cm3": 3.761, "formation_enthalpy_0k_kj_per_mol_atoms": -8.38}

---

4.
{"formula": "CuSb2Te", "functional": "GGA-PBE", "state": "relaxed", "cell": [[-3.5822, -1.9123, 0.5886], [-0.4421, -2.5429, 3.1896], [-3.5131, 3.7833, 5.1584]], "species": ["Cu", "Sb", "Sb", "Te"], "frac_coords": [[0.2471, 0.2471, 0.2581], [0.7460, 0.7460, 0.7631], [0.9906, 0.9906, 0.0305], [0.5163, 0.5163, 0.4483]], "crystal_system": "monoclinic", "raw_formation_energy_ev_per_atom": 0.0529, "mass_density_g_cm3": 7.144}

---

5.
{"formula": "BeWCl2", "functional": "GGA-PBE", "state": "relaxed", "cell": [[-4.7071, -2.9151, 1.9508], [-4.2170, -2.7853, -2.9865], [5.7910, 0.7557, 0.5947]], "species": ["Cl", "Be", "Cl", "W"], "frac_coords": [[0.0000, 0.0000, 0.0000], [0.7500, 0.2500, 0.5000], [0.2500, 0.7500, 0.5000], [0.5000, 0.5000, 0.0000]], "crystal_system": "tetragonal", "raw_formation_energy_ev_per_atom": 1.1238, "mass_density_g_cm3": 6.684, "relative_energy_mev_per_atom": 1303}

---

6.
{"formula": "DyY2ZrSc4", "functional": "GGA-PBE", "state": "relaxed", "cell": [[4.7879, 0.0000, 0.0000], [0.0000, 4.6747, 1.1149], [0.0001, 2.5145, 10.1561]], "species": ["Sc", "Sc", "Sc", "Zr", "Y", "Y", "Sc", "Dy"], "frac_coords": [[0.5000, 0.7387, 0.2612], [0.0000, 0.2389, 0.2611], [0.5000, 0.2613, 0.7388], [0.0000, 0.5000, 0.5000], [0.0000, 0.0000, 0.0000], [0.5000, 0.0000, 0.5000], [0.0000, 0.7611, 0.7389], [0.5000, 0.5000, 0.0000]], "crystal_system": "orthorhombic", "mass_density_g_cm3": 4.746, "formation_enthalpy_0k_kj_per_mol_atoms": 5.90}

---

7.
{"formula": "Ac2RuC4", "functional": "GGA-PBE", "state": "relaxed", "cell": [[-5.1538, 1.7131, 1.3849], [-5.1763, -4.4963, -2.3593], [-2.9091, -3.9185, 5.3628]], "species": ["C", "C", "C", "Ru", "C", "C", "Ac", "Ac", "C", "C", "Ru", "C", "Ac", "Ac"], "frac_coords": [[0.9278, 0.9063, 0.2380], [0.0722, 0.0937, 0.7620], [0.8826, 0.7934, 0.4413], [0.2500, 0.0000, 0.0000], [0.1174, 0.2066, 0.5587], [0.6174, 0.5587, 0.2066], [0.6497, 0.1951, 0.5055], [0.3503, 0.8049, 0.4945], [0.4278, 0.2380, 0.9063], [0.3826, 0.4413, 0.7934], [0.7500, 0.0000, 0.0000], [0.5722, 0.7620, 0.0937], [0.1497, 0.5055, 0.1951], [0.8503, 0.4945, 0.8049]], "crystal_system": "orthorhombic", "mass_density_g_cm3": 8.304, "formation_enthalpy_0k_kj_per_mol_atoms": -5.94}

---

8.
{"formula": "PuReC2", "functional": "GGA-PBE", "state": "relaxed", "cell": [[3.2287, 0.0000, 0.0000], [1.6144, 2.7962, 0.0000], [1.6144, 0.9321, 5.4062]], "species": ["C", "Pu", "Re", "C"], "frac_coords": [[0.7383, 0.7383, 0.7852], [0.5000, 0.5000, 0.5000], [0.0000, 0.0000, 0.0000], [0.2617, 0.2617, 0.2148]], "crystal_system": "trigonal", "mass_density_g_cm3": 15.454, "formation_enthalpy_0k_kj_per_mol_atoms": 10.18, "relative_energy_mev_per_atom": 0}

---

9.
{"formula": "K2InPd", "functional": "GGA-PBE", "state": "relaxed", "cell": [[11.7991, 0.0000, 0.0000], [0.0000, 11.7991, 0.0000], [5.8995, 5.8995, 2.6014]], "species": ["Pd", "K", "Pd", "K", "In", "K", "In", "K"], "frac_coords": [[0.5000, 0.5000, 0.0000], [0.4669, 0.1250, 0.2500], [0.2500, 0.7500, 0.5000], [0.2831, 0.6250, 0.2500], [0.0000, 0.0000, 0.0000], [0.8750, 0.7169, 0.7500], [0.7500, 0.2500, 0.5000], [0.3750, 0.5331, 0.7500]], "crystal_system": "tetragonal", "mass_density_g_cm3": 2.746, "formation_enthalpy_0k_kj_per_mol_atoms": -4.51}

---

10.
{"formula": "Tb2PuVN5", "functional": "GGA-PBE", "state": "relaxed", "cell": [[3.4064, 0.0000, 0.0000], [-1.7032, 6.8525, 0.0000], [0.0000, 0.0000, 10.1502]], "species": ["Tb", "Tb", "N", "N", "N", "N", "N", "N", "N", "Tb", "N", "Pu", "V", "Pu", "N", "N", "Tb", "V"], "frac_coords": [[0.8614, 0.7227, 0.7968], [0.8908, 0.7816, 0.1922], [0.0410, 0.0820, 0.0383], [0.5082, 0.0164, 0.2899], [0.2858, 0.5715, 0.6534], [0.9590, 0.9180, 0.5383], [0.3131, 0.6262, 0.3722], [0.3757, 0.7515, 0.0097], [0.6243, 0.2485, 0.5097], [0.1092, 0.2184, 0.6922], [0.4918, 0.9836, 0.7899], [0.7925, 0.5849, 0.5073], [0.5081, 0.0162, 0.9642], [0.2075, 0.4151, 0.0073], [0.6869, 0.3738, 0.8722], [0.7142, 0.4285, 0.1534], [0.1386, 0.2773, 0.2968], [0.4919, 0.9838, 0.4642]], "crystal_system": "orthorhombic", "raw_formation_energy_ev_per_atom": -1.2569, "mass_density_g_cm3": 9.571}

---

11.
{"formula": "LiNdThSn", "functional": "GGA-PBE", "state": "relaxed", "cell": [[5.3866, 0.0000, 0.0000], [2.6933, 4.6649, 0.0000], [2.6933, 1.5550, 4.3981]], "species": ["Th", "Nd", "Sn", "Li"], "frac_coords": [[0.0000, 0.0000, 0.0000], [0.5000, 0.5000, 0.5000], [0.2500, 0.2500, 0.2500], [0.7500, 0.7500, 0.7500]], "crystal_system": "cubic", "mass_density_g_cm3": 7.542, "formation_enthalpy_0k_kj_per_mol_atoms": -25.11}

---

12.
{"formula": "PmPrPu2Sb4", "functional": "GGA-PBE", "state": "relaxed", "cell": [[4.4789, 0.0000, 0.0000], [0.0000, 7.7377, -0.1637], [0.0000, 2.7443, 7.2541]], "species": ["Sb", "Pu", "Sb", "Pm", "Pu", "Pr", "Sb", "Sb"], "frac_coords": [[0.0000, 0.7597, 0.7449], [0.0000, 0.0000, 0.0000], [0.5000, 0.7583, 0.2490], [0.0000, 0.5000, 0.5000], [0.5000, 0.0000, 0.5000], [0.5000, 0.5000, 0.0000], [0.0000, 0.2403, 0.2551], [0.5000, 0.2417, 0.7510]], "crystal_system": "monoclinic", "raw_formation_energy_ev_per_atom": -0.8870, "mass_density_g_cm3": 8.263}